VASP calculation (PBE-GGA) on a relaxed Np2ZnGa2 crystal.

The structure in POSCAR format:
```
Np2ZnGa2
1.0
4.518 0.000 0.000
-2.259 4.888 -1.236
0.000 0.447 8.656
Np Zn Ga
4 2 4
Cartesian
2.259 4.696 4.256 Np
0.000 1.810 -0.059 Np
0.000 0.640 3.164 Np
2.259 3.526 7.479 Np
2.259 2.433 2.017 Zn
0.000 2.903 5.403 Zn
0.000 3.603 2.562 Ga
0.000 4.885 0.046 Ga
2.259 1.732 4.858 Ga
2.259 0.450 7.374 Ga
```

Calculated values
**Symmetry**: C2/m, No. 12
**Calculated total energy**: -6.679 eV/atom
**D(E_F)**: 17.54 states/eV per cell
**Theoretical density**: 11.64 Mg/m³
**Energy relative to the elements**: -38 meV/atom